Entry 1:
# MgMn2Be, optimized geometry, DFT PBE-GGA
data_MgMn2Be
_chemical_formula_sum 'Mg1 Mn2 Be1'
_cell_length_a 2.879
_cell_length_b 4.040
_cell_length_c 4.155
_cell_angle_alpha 90.00
_cell_angle_beta 90.00
_cell_angle_gamma 90.00
_symmetry_space_group_name_H-M 'P m m m'
_symmetry_Int_Tables_number 47
_symmetry_space_group_name_Hall '-P 2 2'
loop_
_atom_site_label
_atom_site_type_symbol
_atom_site_fract_x
_atom_site_fract_y
_atom_site_fract_z
Mg1 Mg 0.000 0.000 0.000
Mn1 Mn 0.000 0.500 0.500
Mn2 Mn 0.500 0.000 0.500
Be1 Be 0.500 0.500 0.000
# ΔH_f (0 K) (eV per atom): 0.36
# Density (g/cm3): 4.9
# E above lowest polymorph (meV/atom): 286

---

Entry 2:
# MgMn2Be, optimized geometry, DFT PBE-GGA
data_MgMn2Be
_chemical_formula_sum 'Mg4 Mn8 Be4'
_cell_length_a 3.456
_cell_length_b 3.456
_cell_length_c 17.339
_cell_angle_alpha 90.00
_cell_angle_beta 90.00
_cell_angle_gamma 90.00
_symmetry_space_group_name_H-M 'I -4 2 d'
_symmetry_Int_Tables_number 122
_symmetry_space_group_name_Hall 'I -4 2bw'
loop_
_atom_site_label
_atom_site_type_symbol
_atom_site_fract_x
_atom_site_fract_y
_atom_site_fract_z
Mg1 Mg 0.000 0.000 0.000
Mn1 Mn 0.182 0.750 0.625
Be1 Be 0.000 0.000 0.500
# ΔH_f (0 K) (eV per atom): 0.66
# Density (g/cm3): 4.6
# E above lowest polymorph (meV/atom): 588

---

Entry 3:
# MgMn2Be, optimized geometry, DFT PBE-GGA
data_MgMn2Be
_chemical_formula_sum 'Mg1 Mn2 Be1'
_cell_length_a 2.779
_cell_length_b 2.779
_cell_length_c 6.876
_cell_angle_alpha 90.00
_cell_angle_beta 90.00
_cell_angle_gamma 90.00
_symmetry_space_group_name_H-M 'P 4/m m m'
_symmetry_Int_Tables_number 123
_symmetry_space_group_name_Hall '-P 4 2'
loop_
_atom_site_label
_atom_site_type_symbol
_atom_site_fract_x
_atom_site_fract_y
_atom_site_fract_z
Mg1 Mg 0.000 0.000 0.000
Mn1 Mn 0.500 0.500 0.301
Be1 Be 0.000 0.000 0.500
# ΔH_f (0 K) (eV per atom): 0.17
# Density (g/cm3): 4.5
# E above lowest polymorph (meV/atom): 96

---

Entry 4:
# Mg2MnBe, optimized geometry, DFT PBE-GGA
data_Mg2MnBe
_chemical_formula_sum 'Mg4 Mn2 Be2'
_cell_length_a 3.049
_cell_length_b 4.517
_cell_length_c 9.124
_cell_angle_alpha 90.00
_cell_angle_beta 90.00
_cell_angle_gamma 90.00
_symmetry_space_group_name_H-M 'I m m 2'
_symmetry_Int_Tables_number 44
_symmetry_space_group_name_Hall 'I 2 -2'
loop_
_atom_site_label
_atom_site_type_symbol
_atom_site_fract_x
_atom_site_fract_y
_atom_site_fract_z
Mg1 Mg 0.000 0.000 0.000
Mg2 Mg 0.000 0.500 0.212
Mn1 Mn 0.000 0.500 0.776
Be1 Be 0.000 0.000 0.466
# ΔH_f (0 K) (eV per atom): 0.27
# Density (g/cm3): 3.0

---

Entry 5:
# Mg2MnBe, optimized geometry, DFT PBE-GGA
data_Mg2MnBe
_chemical_formula_sum 'Mg2 Mn1 Be1'
_cell_length_a 3.912
_cell_length_b 3.925
_cell_length_c 4.073
_cell_angle_alpha 90.00
_cell_angle_beta 90.00
_cell_angle_gamma 90.00
_symmetry_space_group_name_H-M 'P m m m'
_symmetry_Int_Tables_number 47
_symmetry_space_group_name_Hall '-P 2 2'
loop_
_atom_site_label
_atom_site_type_symbol
_atom_site_fract_x
_atom_site_fract_y
_atom_site_fract_z
Mg1 Mg 0.000 0.000 0.000
Mg2 Mg 0.500 0.500 0.000
Mn1 Mn 0.000 0.500 0.500
Be1 Be 0.500 0.000 0.500
# ΔH_f (0 K) (eV per atom): 0.31
# Density (g/cm3): 3.0

---

Entry 6:
# MgMn2Be, optimized geometry, DFT PBE-GGA
data_MgMn2Be
_chemical_formula_sum 'Mg2 Mn4 Be2'
_cell_length_a 9.507
_cell_length_b 2.844
_cell_length_c 4.292
_cell_angle_alpha 90.00
_cell_angle_beta 116.66
_cell_angle_gamma 90.00
_symmetry_space_group_name_H-M 'C 1 2/m 1'
_symmetry_Int_Tables_number 12
_symmetry_space_group_name_Hall '-C 2y'
loop_
_atom_site_label
_atom_site_type_symbol
_atom_site_fract_x
_atom_site_fract_y
_atom_site_fract_z
Mg1 Mg 0.000 0.000 0.000
Mn1 Mn 0.217 0.000 0.716
Be1 Be 0.000 0.500 0.500
# ΔH_f (0 K) (eV per atom): 0.28
# Density (g/cm3): 4.6
# E above lowest polymorph (meV/atom): 205

---

Entry 7:
# Mg2MnBe, optimized geometry, DFT PBE-GGA
data_Mg2MnBe
_chemical_formula_sum 'Mg2 Mn1 Be1'
_cell_length_a 2.845
_cell_length_b 4.136
_cell_length_c 5.501
_cell_angle_alpha 90.00
_cell_angle_beta 100.45
_cell_angle_gamma 90.00
_symmetry_space_group_name_H-M 'P 1 2/m 1'
_symmetry_Int_Tables_number 10
_symmetry_space_group_name_Hall '-P 2y'
loop_
_atom_site_label
_atom_site_type_symbol
_atom_site_fract_x
_atom_site_fract_y
_atom_site_fract_z
Mg1 Mg 0.072 0.000 0.257
Mn1 Mn 0.500 0.500 0.000
Be1 Be 0.500 0.500 0.500
# ΔH_f (0 K) (eV per atom): 0.37
# Density (g/cm3): 2.9

---

Entry 8:
# MgMn3Be, optimized geometry, DFT PBE-GGA
data_MgMn3Be
_chemical_formula_sum 'Mg1 Mn3 Be1'
_cell_length_a 4.184
_cell_length_b 4.184
_cell_length_c 4.184
_cell_angle_alpha 90.00
_cell_angle_beta 90.00
_cell_angle_gamma 90.00
_symmetry_space_group_name_H-M 'P m -3 m'
_symmetry_Int_Tables_number 221
_symmetry_space_group_name_Hall '-P 4 2 3'
loop_
_atom_site_label
_atom_site_type_symbol
_atom_site_fract_x
_atom_site_fract_y
_atom_site_fract_z
Mg1 Mg 0.000 0.000 0.000
Mn1 Mn 0.000 0.500 0.500
Be1 Be 0.500 0.500 0.500
# ΔH_f (0 K) (eV per atom): 0.49
# Density (g/cm3): 4.5
# E above lowest polymorph (meV/atom): 0

---

Q: Number 4 is which compound?
A: Mg2MnBe

---

Q: The lowest ΔH_f (0 K) belongs to which entry?
A: number 3

---

Q: The lowest ΔH_f (0 K) belongs to which entry?
A: number 3

---

Q: Among the records above, which one has the highest density?
A: number 1